Entry from the Alexandria database: a relaxed Sr2FeSi crystal (GGA-PBE).

a = 3.642 Å, b = 3.642 Å, c = 8.254 Å
α = 90.00°, β = 90.00°, γ = 90.00°
Atoms (fractional coordinates):
Sr1 0.000 0.000 0.244
Sr2 0.000 0.000 0.756
Fe1 0.500 0.500 0.500
Si1 0.500 0.500 0.000

=====

Entry from the Alexandria database: a relaxed SrFeSi crystal (GGA-PBE).

a = 5.991 Å, b = 5.991 Å, c = 5.991 Å
α = 148.17°, β = 148.17°, γ = 45.64°
Atoms (fractional coordinates):
Sr1 0.000 0.000 0.000
Fe1 0.279 0.279 0.000
Si1 0.719 0.719 0.000

=====

Entry from the Alexandria database: a relaxed Sr2FeSi crystal (GGA-PBE).

a = 4.830 Å, b = 4.830 Å, c = 7.718 Å
α = 100.36°, β = 100.36°, γ = 44.58°
Atoms (fractional coordinates):
Sr1 0.246 0.246 0.236
Sr2 0.754 0.754 0.764
Fe1 0.000 0.000 0.500
Si1 0.500 0.500 0.000

=====

Entry from the Alexandria database: a relaxed SrFeSi3 crystal (GGA-PBE).

a = 4.565 Å, b = 4.565 Å, c = 4.565 Å
α = 90.00°, β = 90.00°, γ = 90.00°
Atoms (fractional coordinates):
Sr1 0.000 0.000 0.000
Fe1 0.500 0.500 0.500
Si1 0.000 0.500 0.500
Si2 0.500 0.000 0.500
Si3 0.500 0.500 0.000

=====

Entry from the Alexandria database: a relaxed SrFe2Si crystal (GGA-PBE).

a = 5.619 Å, b = 5.619 Å, c = 5.619 Å
α = 149.59°, β = 126.03°, γ = 63.21°
Atoms (fractional coordinates):
Sr1 0.000 0.000 0.000
Fe1 0.490 0.490 0.000
Fe2 0.694 0.194 0.500
Si1 0.291 0.791 0.500

=====

Entry from the Alexandria database: a relaxed SrFe2Si crystal (GGA-PBE).

a = 4.322 Å, b = 4.322 Å, c = 3.863 Å
α = 90.00°, β = 90.00°, γ = 90.00°
Atoms (fractional coordinates):
Sr1 0.000 0.000 0.000
Fe1 0.000 0.500 0.500
Fe2 0.500 0.000 0.500
Si1 0.500 0.500 0.000

=====

Entry from the Alexandria database: a relaxed SrFe2Si2 crystal (GGA-PBE).

a = 7.275 Å, b = 7.275 Å, c = 2.724 Å
α = 90.00°, β = 90.00°, γ = 90.00°
Atoms (fractional coordinates):
Sr1 0.000 0.000 0.000
Sr2 0.500 0.500 0.000
Fe1 0.140 0.360 0.000
Fe2 0.360 0.860 0.000
Fe3 0.640 0.140 0.000
Fe4 0.860 0.640 0.000
Si1 0.139 0.639 0.500
Si2 0.361 0.139 0.500
Si3 0.639 0.861 0.500
Si4 0.861 0.361 0.500

=====

Entry from the Alexandria database: a relaxed SrFe2Si crystal (GGA-PBE).

a = 5.944 Å, b = 5.944 Å, c = 5.944 Å
α = 40.00°, β = 40.00°, γ = 40.00°
Atoms (fractional coordinates):
Sr1 0.000 0.000 0.000
Fe1 0.182 0.182 0.182
Fe2 0.818 0.818 0.818
Si1 0.500 0.500 0.500

=====

Result set for formation energy without anion corrections: 341, 50, 574, 28, 481, 686, 17, -166 meV per atom, one per record in the order listed.